Entry 1:
BaBe4Tc3O12: relaxed, PBE.

Computed properties:
raw total energy = -7.294 eV per atom
symmetry = R32 (155)
total magnetization = 7.0 μB/f.u.
raw formation energy = -38.46 eV/f.u.
N(E_F) = 10.63 states/eV/cell

Cell and atoms, written as POSCAR:
```
BaBe4Tc3O12
1.0
6.425 -0.060 -0.083
-1.606 6.221 -0.083
-1.606 -2.053 5.873
O Tc Be Ba
12 3 4 1
Direct
0.910 0.500 0.090 O
0.246 0.384 0.969 O
0.655 0.500 0.345 O
0.616 0.754 0.031 O
0.031 0.616 0.754 O
0.969 0.246 0.384 O
0.500 0.090 0.910 O
0.754 0.031 0.616 O
0.500 0.345 0.655 O
0.090 0.910 0.500 O
0.345 0.655 0.500 O
0.384 0.969 0.246 O
0.560 0.440 0.000 Tc
0.000 0.560 0.440 Tc
0.440 0.000 0.560 Tc
0.500 0.936 0.064 Be
0.064 0.500 0.936 Be
0.500 0.500 0.500 Be
0.936 0.064 0.500 Be
0.000 0.000 0.000 Ba
```

---

Entry 2:
BaBeTcO5: relaxed, PBE.

Computed properties:
raw total energy = -7.094 eV per atom
symmetry = C2/c (15)
total magnetization = 1.0 μB/f.u.
raw formation energy = -15.94 eV/f.u.
N(E_F) = 5.51 states/eV/cell

Cell and atoms, written as POSCAR:
```
BaBeTcO5
1.0
-2.804 -3.823 3.122
-1.363 -1.102 -5.400
7.048 -2.053 0.536
O Tc Ba Be
10 2 2 2
Direct
0.282 0.882 0.609 O
0.118 0.718 0.891 O
0.882 0.282 0.109 O
0.782 0.631 0.397 O
0.718 0.118 0.391 O
0.369 0.218 0.103 O
0.950 0.050 0.750 O
0.218 0.369 0.603 O
0.631 0.782 0.897 O
0.050 0.950 0.250 O
0.000 0.000 0.500 Tc
0.000 0.000 0.000 Tc
0.664 0.336 0.750 Ba
0.336 0.664 0.250 Ba
0.694 0.306 0.250 Be
0.306 0.694 0.750 Be
```

---

Entry 3:
Ba2BeTcO6: relaxed, PBE.

Computed properties:
raw total energy = -6.970 eV per atom
symmetry = R-3m (166)
total magnetization = 1.0 μB/f.u.
raw formation energy = -22.01 eV/f.u.
N(E_F) = 3.67 states/eV/cell

Cell and atoms, written as POSCAR:
```
Ba2BeTcO6
1.0
-5.430 1.355 -0.368
-2.542 0.063 -4.999
-5.171 -9.286 -0.633
O Ba Be Tc
12 4 2 2
Direct
0.695 0.208 0.888 O
0.144 0.624 0.608 O
0.208 0.208 0.888 O
0.305 0.792 0.112 O
0.208 0.695 0.888 O
0.376 0.376 0.392 O
0.792 0.792 0.112 O
0.624 0.144 0.608 O
0.792 0.305 0.112 O
0.856 0.376 0.392 O
0.376 0.856 0.392 O
0.624 0.624 0.608 O
0.273 0.273 0.182 Ba
0.727 0.727 0.818 Ba
0.128 0.128 0.616 Ba
0.872 0.872 0.384 Ba
0.626 0.626 0.123 Be
0.374 0.374 0.877 Be
0.500 0.500 0.500 Tc
0.000 0.000 0.000 Tc
```

---

Entry 4:
BaBeTe2O8: relaxed, PBE.

Computed properties:
raw total energy = -5.614 eV per atom
symmetry = P-1 (2)
total magnetization = 0.0 μB/f.u.
raw formation energy = -15.77 eV/f.u.

Cell and atoms, written as POSCAR:
```
BaBeTe2O8
1.0
4.732 0.519 -0.143
0.594 4.971 -0.134
-0.217 -0.176 7.936
O Te Ba Be
8 2 1 1
Direct
0.591 0.718 0.396 O
0.678 0.681 0.985 O
0.839 0.172 0.840 O
0.196 0.758 0.793 O
0.804 0.242 0.207 O
0.161 0.828 0.160 O
0.322 0.319 0.015 O
0.409 0.282 0.604 O
0.476 0.431 0.818 Te
0.524 0.569 0.182 Te
0.000 0.000 0.500 Ba
0.000 0.000 0.000 Be
```

---

Entry 5:
BaBeTeO6: relaxed, PBE.

Computed properties:
raw total energy = -5.711 eV per atom
symmetry = P-31c (163)
total magnetization = 2.0 μB/f.u.
raw formation energy = -12.86 eV/f.u.
N(E_F) = 7.16 states/eV/cell

Cell and atoms, written as POSCAR:
```
BaBeTeO6
1.0
-0.733 -2.557 -4.341
1.088 -2.521 4.287
-11.351 -0.818 2.399
O Te Ba Be
12 2 2 2
Direct
0.400 0.391 0.344 O
0.991 0.600 0.344 O
0.391 0.991 0.656 O
0.991 0.391 0.156 O
0.391 0.400 0.844 O
0.609 0.600 0.156 O
0.009 0.609 0.844 O
0.400 0.009 0.156 O
0.600 0.991 0.844 O
0.609 0.009 0.344 O
0.009 0.400 0.656 O
0.600 0.609 0.656 O
0.333 0.667 0.250 Te
0.667 0.333 0.750 Te
0.000 0.000 0.000 Ba
0.000 0.000 0.500 Ba
0.667 0.333 0.250 Be
0.333 0.667 0.750 Be
```

---

Entry 6:
Ba2BeTeO6: relaxed, PBE.

Computed properties:
raw total energy = -6.091 eV per atom
symmetry = R-3m (166)
total magnetization = 0.0 μB/f.u.
raw formation energy = -20.45 eV/f.u.

Cell and atoms, written as POSCAR:
```
Ba2BeTeO6
1.0
5.732 0.000 0.000
2.866 4.964 0.000
2.866 1.655 9.381
O Ba Te Be
12 4 2 2
Direct
0.205 0.710 0.880 O
0.611 0.151 0.628 O
0.389 0.389 0.372 O
0.290 0.795 0.120 O
0.795 0.290 0.120 O
0.389 0.849 0.372 O
0.205 0.205 0.880 O
0.710 0.205 0.880 O
0.611 0.611 0.628 O
0.795 0.795 0.120 O
0.849 0.389 0.372 O
0.151 0.611 0.628 O
0.719 0.719 0.844 Ba
0.872 0.872 0.384 Ba
0.128 0.128 0.616 Ba
0.281 0.281 0.156 Ba
0.500 0.500 0.500 Te
0.000 0.000 0.000 Te
0.400 0.400 0.800 Be
0.600 0.600 0.200 Be
```